<one>
# KMg2W

A relaxed structure of KMg2W (PBE, Alexandria via LeMat-Bulk).

```
KMg2W
1.0
-2.761 2.761 9.831
2.761 -2.761 9.831
2.761 2.761 -9.831
K Mg W
2 4 2
Direct
0.000 0.000 0.000
0.750 0.250 0.500
0.302 0.625 0.177
0.375 0.552 0.677
0.448 0.125 0.823
0.875 0.698 0.323
0.250 0.750 0.500
0.500 0.500 0.000
```

Computed properties:
SG = I-42d (122)
Calculated volume = 299.8 Å³/cell
DOS at the Fermi energy = 5.85 states/eV per cell

=====

<two>
# KMg2W

A relaxed structure of KMg2W (PBE, Alexandria via LeMat-Bulk).

```
KMg2W
1.0
5.100 -1.409 0.000
5.100 1.409 0.000
-0.409 0.000 7.444
K Mg W
1 2 1
Direct
0.000 0.000 0.000
0.504 0.504 0.562
0.761 0.761 0.346
0.240 0.240 0.668
```

Computed properties:
SG = Cm (8)
Calculated volume = 107.0 Å³/cell
DOS at the Fermi energy = 3.19 states/eV per cell

=====

<three>
# KMg2W

A relaxed structure of KMg2W (PBE, Alexandria via LeMat-Bulk).

```
KMg2W
1.0
0.000 3.651 3.651
3.651 0.000 3.651
3.651 3.651 0.000
K Mg W
1 2 1
Direct
0.000 0.000 0.000
0.250 0.250 0.250
0.750 0.750 0.750
0.500 0.500 0.500
```

Computed properties:
SG = Fm-3m (225)
Calculated volume = 97.3 Å³/cell
DOS at the Fermi energy = 2.58 states/eV per cell

=====

Q: Which of them is the most stable? A: <two>.

=====

<one>
# KMg3W

A relaxed structure of KMg3W (PBE, Alexandria via LeMat-Bulk).

```
KMg3W
1.0
5.482 0.000 0.000
0.000 5.482 0.000
0.000 0.000 5.482
K Mg W
1 3 1
Direct
0.000 0.000 0.000
0.000 0.500 0.500
0.500 0.000 0.500
0.500 0.500 0.000
0.500 0.500 0.500
```

Computed properties:
SG = Pm-3m (221)
Calculated volume = 164.7 Å³/cell
DOS at the Fermi energy = 3.61 states/eV per cell

=====

<two>
# KMg3W

A relaxed structure of KMg3W (PBE, Alexandria via LeMat-Bulk).

```
KMg3W
1.0
5.096 0.000 0.000
0.000 5.096 0.000
0.000 0.000 5.096
K Mg W
1 3 1
Direct
0.000 0.000 0.000
0.000 0.000 0.500
0.000 0.500 0.000
0.500 0.000 0.000
0.500 0.500 0.500
```

Computed properties:
SG = Pm-3m (221)
Calculated volume = 132.4 Å³/cell
DOS at the Fermi energy = 3.88 states/eV per cell

=====

Q: Which of them is the most stable? A: <one>.

=====

<one>
# KMgW

A relaxed structure of KMgW (PBE, Alexandria via LeMat-Bulk).

```
KMgW
1.0
0.000 2.330 8.772
1.635 0.000 8.772
1.635 2.330 0.000
K Mg W
1 1 1
Direct
0.000 0.000 0.000
0.308 0.308 0.692
0.673 0.673 0.327
```

Computed properties:
SG = Fmm2 (42)
Calculated volume = 66.8 Å³/cell
DOS at the Fermi energy = 2.61 states/eV per cell

=====

<two>
# KMgW

A relaxed structure of KMgW (PBE, Alexandria via LeMat-Bulk).

```
KMgW
1.0
0.000 3.690 3.690
3.690 0.000 3.690
3.690 3.690 0.000
K Mg W
1 1 1
Direct
0.000 0.000 0.000
0.750 0.750 0.750
0.500 0.500 0.500
```

Computed properties:
SG = F-43m (216)
Calculated volume = 100.5 Å³/cell
DOS at the Fermi energy = 1.64 states/eV per cell

=====

Q: Which of them is the most stable? A: <one>.

=====

<one>
# KMgW

A relaxed structure of KMgW (PBE, Alexandria via LeMat-Bulk).

```
KMgW
1.0
-1.343 2.401 6.268
1.343 -2.401 6.268
1.343 2.401 -6.268
K Mg W
1 1 1
Direct
0.000 0.000 0.000
0.718 0.718 0.000
0.288 0.288 0.000
```

Computed properties:
SG = Imm2 (44)
Calculated volume = 80.8 Å³/cell
DOS at the Fermi energy = 3.55 states/eV per cell

=====

<two>
# KMgW

A relaxed structure of KMgW (PBE, Alexandria via LeMat-Bulk).

```
KMgW
1.0
-1.422 1.422 8.653
1.422 -1.422 8.653
1.422 1.422 -8.653
K Mg W
1 1 1
Direct
0.000 0.000 0.000
0.296 0.296 0.000
0.672 0.672 0.000
```

Computed properties:
SG = I4mm (107)
Calculated volume = 70.0 Å³/cell
DOS at the Fermi energy = 2.43 states/eV per cell

=====

<three>
# KMgW

A relaxed structure of KMgW (PBE, Alexandria via LeMat-Bulk).

```
KMgW
1.0
0.000 3.851 3.851
3.851 0.000 3.851
3.851 3.851 0.000
K Mg W
1 1 1
Direct
0.000 0.000 0.000
0.750 0.750 0.750
0.250 0.250 0.250
```

Computed properties:
SG = F-43m (216)
Calculated volume = 114.2 Å³/cell
DOS at the Fermi energy = 1.35 states/eV per cell

=====

Q: Which of them is the most stable? A: <two>.

=====

<one>
# KMg3Zn

A relaxed structure of KMg3Zn (PBE, Alexandria via LeMat-Bulk).

```
KMg3Zn
1.0
5.247 0.000 0.000
0.000 5.247 0.000
0.000 0.000 5.247
K Mg Zn
1 3 1
Direct
0.000 0.000 0.000
0.000 0.500 0.500
0.500 0.000 0.500
0.500 0.500 0.000
0.500 0.500 0.500
```

Computed properties:
SG = Pm-3m (221)
Calculated volume = 144.5 Å³/cell
DOS at the Fermi energy = 1.90 states/eV per cell

=====

<two>
# KMg3Zn

A relaxed structure of KMg3Zn (PBE, Alexandria via LeMat-Bulk).

```
KMg3Zn
1.0
6.836 0.000 0.000
0.000 6.836 0.000
0.000 0.000 6.836
K Mg Zn
1 3 1
Direct
0.000 0.000 0.000
0.000 0.000 0.500
0.000 0.500 0.000
0.500 0.000 0.000
0.500 0.500 0.500
```

Computed properties:
SG = Pm-3m (221)
Calculated volume = 319.4 Å³/cell
DOS at the Fermi energy = 4.09 states/eV per cell

=====

Q: Which of them is the most stable? A: <one>.

=====

<one>
# KMg14Zn

A relaxed structure of KMg14Zn (PBE, Alexandria via LeMat-Bulk).

```
KMg14Zn
1.0
10.601 0.000 0.000
0.000 3.214 5.633
0.000 -3.214 5.633
K Mg Zn
1 14 1
Direct
0.000 0.000 0.000
0.000 0.005 0.495
0.000 0.495 0.005
0.232 0.649 0.649
0.256 0.157 0.646
0.256 0.646 0.157
0.263 0.158 0.158
0.500 0.488 0.488
0.500 0.492 0.981
0.500 0.981 0.492
0.500 0.986 0.986
0.737 0.158 0.158
0.744 0.157 0.646
0.744 0.646 0.157
0.768 0.649 0.649
0.000 0.477 0.477
```

Computed properties:
SG = Amm2 (38)
Calculated volume = 383.9 Å³/cell
DOS at the Fermi energy = 5.17 states/eV per cell

=====

<two>
# KMg14Zn

A relaxed structure of KMg14Zn (PBE, Alexandria via LeMat-Bulk).

```
KMg14Zn
1.0
6.444 0.000 0.000
-3.222 5.581 0.000
0.000 0.000 10.654
K Mg Zn
1 14 1
Direct
0.000 0.000 0.000
0.009 0.504 0.000
0.168 0.335 0.265
0.168 0.335 0.735
0.168 0.832 0.265
0.168 0.832 0.735
0.496 0.504 0.000
0.496 0.991 0.000
0.503 0.006 0.500
0.503 0.497 0.500
0.665 0.832 0.265
0.665 0.832 0.735
0.667 0.333 0.239
0.667 0.333 0.761
0.994 0.497 0.500
0.000 0.000 0.500
```

Computed properties:
SG = P-6m2 (187)
Calculated volume = 383.2 Å³/cell
DOS at the Fermi energy = 5.27 states/eV per cell

=====

Q: Which of them is the most stable? A: <one>.

=====

<one>
# KMg2Zr

A relaxed structure of KMg2Zr (PBE, Alexandria via LeMat-Bulk).

```
KMg2Zr
1.0
-2.331 2.331 5.235
2.331 -2.331 5.235
2.331 2.331 -5.235
K Mg Zr
1 2 1
Direct
0.000 0.000 0.000
0.250 0.750 0.500
0.500 0.500 0.000
0.750 0.250 0.500
```

Computed properties:
SG = I-4m2 (119)
Calculated volume = 113.8 Å³/cell
DOS at the Fermi energy = 4.58 states/eV per cell

=====

<two>
# KMg2Zr

A relaxed structure of KMg2Zr (PBE, Alexandria via LeMat-Bulk).

```
KMg2Zr
1.0
1.629 0.941 11.905
-1.629 0.941 11.905
0.000 -1.882 11.905
K Mg Zr
1 2 1
Direct
0.000 0.000 0.000
0.240 0.240 0.240
0.760 0.760 0.760
0.500 0.500 0.500
```

Computed properties:
SG = R-3m (166)
Calculated volume = 109.5 Å³/cell
DOS at the Fermi energy = 4.75 states/eV per cell

=====

<three>
# KMg2Zr

A relaxed structure of KMg2Zr (PBE, Alexandria via LeMat-Bulk).

```
KMg2Zr
1.0
0.000 3.802 3.802
3.802 0.000 3.802
3.802 3.802 0.000
K Mg Zr
1 2 1
Direct
0.000 0.000 0.000
0.500 0.500 0.500
0.750 0.750 0.750
0.250 0.250 0.250
```

Computed properties:
SG = F-43m (216)
Calculated volume = 109.9 Å³/cell
DOS at the Fermi energy = 5.06 states/eV per cell

=====

Q: Which of them is the most stable? A: <two>.

=====

<one>
# KMg2Zr

A relaxed structure of KMg2Zr (PBE, Alexandria via LeMat-Bulk).

```
KMg2Zr
1.0
5.321 -1.481 0.000
5.321 1.481 0.000
-0.407 0.000 7.785
K Mg Zr
1 2 1
Direct
0.000 0.000 0.000
0.240 0.240 0.676
0.760 0.760 0.324
0.500 0.500 0.500
```

Computed properties:
SG = C2/m (12)
Calculated volume = 122.7 Å³/cell
DOS at the Fermi energy = 3.75 states/eV per cell

=====

<two>
# KMg2Zr

A relaxed structure of KMg2Zr (PBE, Alexandria via LeMat-Bulk).

```
KMg2Zr
1.0
-1.540 3.192 6.162
1.540 -3.192 6.162
1.540 3.192 -6.162
K Mg Zr
1 2 1
Direct
0.000 0.000 0.000
0.281 0.781 0.500
0.719 0.219 0.500
0.500 0.500 0.000
```

Computed properties:
SG = Immm (71)
Calculated volume = 121.2 Å³/cell
DOS at the Fermi energy = 3.39 states/eV per cell

=====

Q: Which of them is the most stable? A: <one>.

=====

<one>
# KMg14Zr

A relaxed structure of KMg14Zr (PBE, Alexandria via LeMat-Bulk).

```
KMg14Zr
1.0
6.794 0.000 0.000
0.000 6.794 0.000
0.000 0.000 8.355
K Mg Zr
1 14 1
Direct
0.000 0.000 0.000
0.000 0.000 0.500
0.000 0.500 0.000
0.000 0.500 0.500
0.264 0.264 0.260
0.264 0.264 0.740
0.264 0.736 0.260
0.264 0.736 0.740
0.500 0.000 0.000
0.500 0.000 0.500
0.500 0.500 0.500
0.736 0.264 0.260
0.736 0.264 0.740
0.736 0.736 0.260
0.736 0.736 0.740
0.500 0.500 0.000
```

Computed properties:
SG = P4/mmm (123)
Calculated volume = 385.7 Å³/cell
DOS at the Fermi energy = 8.82 states/eV per cell

=====

<two>
# KMg14Zr

A relaxed structure of KMg14Zr (PBE, Alexandria via LeMat-Bulk).

```
KMg14Zr
1.0
6.582 0.000 0.000
-3.291 5.700 0.000
0.000 0.000 10.405
K Mg Zr
1 14 1
Direct
0.000 0.000 0.000
0.009 0.505 0.000
0.168 0.337 0.264
0.168 0.337 0.736
0.168 0.832 0.264
0.168 0.832 0.736
0.495 0.505 0.000
0.495 0.991 0.000
0.500 0.001 0.500
0.500 0.500 0.500
0.663 0.832 0.264
0.663 0.832 0.736
0.667 0.333 0.246
0.667 0.333 0.754
0.999 0.500 0.500
0.000 0.000 0.500
```

Computed properties:
SG = P-6m2 (187)
Calculated volume = 390.4 Å³/cell
DOS at the Fermi energy = 7.86 states/eV per cell

=====

Q: Which of them is the most stable? A: <one>.

=====

<one>
# KMg6Zr

A relaxed structure of KMg6Zr (PBE, Alexandria via LeMat-Bulk).

```
KMg6Zr
1.0
6.680 0.000 0.000
-3.340 5.785 0.000
0.000 0.000 5.215
K Mg Zr
1 6 1
Direct
0.000 0.000 0.000
0.176 0.353 0.500
0.176 0.824 0.500
0.507 0.015 0.000
0.507 0.493 0.000
0.647 0.824 0.500
0.985 0.493 0.000
0.667 0.333 0.500
```

Computed properties:
SG = P-6m2 (187)
Calculated volume = 201.6 Å³/cell
DOS at the Fermi energy = 6.88 states/eV per cell

=====

<two>
# KMg6Zr

A relaxed structure of KMg6Zr (PBE, Alexandria via LeMat-Bulk).

```
KMg6Zr
1.0
6.697 0.000 0.000
0.000 6.697 0.000
0.000 0.000 4.660
K Mg Zr
1 6 1
Direct
0.000 0.000 0.000
0.000 0.500 0.000
0.274 0.274 0.500
0.274 0.726 0.500
0.500 0.000 0.000
0.726 0.274 0.500
0.726 0.726 0.500
0.500 0.500 0.000
```

Computed properties:
SG = P4/mmm (123)
Calculated volume = 209.0 Å³/cell
DOS at the Fermi energy = 7.12 states/eV per cell

=====

Q: Which of them is the most stable? A: <one>.

=====

<one>
# KMg3Zr

A relaxed structure of KMg3Zr (PBE, Alexandria via LeMat-Bulk).

```
KMg3Zr
1.0
5.831 0.000 0.000
0.000 5.831 0.000
0.000 0.000 5.831
K Mg Zr
1 3 1
Direct
0.000 0.000 0.000
0.000 0.500 0.500
0.500 0.000 0.500
0.500 0.500 0.000
0.500 0.500 0.500
```

Computed properties:
SG = Pm-3m (221)
Calculated volume = 198.2 Å³/cell
DOS at the Fermi energy = 5.11 states/eV per cell

=====

<two>
# KMg3Zr

A relaxed structure of KMg3Zr (PBE, Alexandria via LeMat-Bulk).

```
KMg3Zr
1.0
5.223 0.000 0.000
0.000 5.223 0.000
0.000 0.000 5.223
K Mg Zr
1 3 1
Direct
0.000 0.000 0.000
0.000 0.000 0.500
0.000 0.500 0.000
0.500 0.000 0.000
0.500 0.500 0.500
```

Computed properties:
SG = Pm-3m (221)
Calculated volume = 142.5 Å³/cell
DOS at the Fermi energy = 3.60 states/eV per cell

=====

Q: Which of them is the most stable? A: <one>.